# 1
An optimized crystal structure of Cr3HIr, computed with PBE-GGA.

Calculated values
DOS at the Fermi energy: 1.045 states/eV/atom
Total magnetization: 0.0 μB per cell
Calculated volume: 51.6 Å³/cell
Raw total energy: -8.25 eV/atom

Cell lengths 3.724, 3.724, 3.724 Å; angles 90.00, 90.00, 90.00 degrees
Space group Pm-3m (No. 221)
Unique sites:
Cr 0.000 0.000 0.500 [3 per cell]
H 0.000 0.000 0.000 [1 per cell]
Ir 0.500 0.500 0.500 [1 per cell]

---

# 2
An optimized crystal structure of Cr2HIr2, computed with PBE-GGA.

Calculated values
DOS at the Fermi energy: 0.991 states/eV/atom
Total magnetization: 0.0 μB per cell
Calculated volume: 139.2 Å³/cell
Raw total energy: -7.47 eV/atom

Cell lengths 7.234, 7.234, 2.660 Å; angles 90.00, 90.00, 90.00 degrees
Space group P4/mbm (No. 127)
Unique sites:
Cr 0.158 0.342 0.000 [4 per cell]
H 0.000 0.000 0.500 [2 per cell]
Ir 0.136 0.636 0.500 [4 per cell]

---

# 3
An optimized crystal structure of Cr3HIr, computed with PBE-GGA.

Calculated values
DOS at the Fermi energy: 0.919 states/eV/atom
Total magnetization: 0.0 μB per cell
Calculated volume: 210.0 Å³/cell
Raw total energy: -8.17 eV/atom

Cell lengths 4.316, 4.609, 10.559 Å; angles 90.00, 90.00, 90.00 degrees
Space group Ima2 (No. 46)
Unique sites:
Cr 0.250 0.174 0.000 [4 per cell]
Cr 0.250 0.203 0.746 [4 per cell]
Cr 0.250 0.681 0.112 [4 per cell]
H 0.000 0.000 0.120 [4 per cell]
Ir 0.250 0.681 0.868 [4 per cell]

---

# 4
An optimized crystal structure of CrHIr3, computed with PBE-GGA.

Calculated values
DOS at the Fermi energy: 0.403 states/eV/atom
Total magnetization: 1.9 μB per cell
Calculated volume: 59.1 Å³/cell
Raw total energy: -7.93 eV/atom

Cell lengths 3.896, 3.896, 3.896 Å; angles 90.00, 90.00, 90.00 degrees
Space group Pm-3m (No. 221)
Unique sites:
Cr 0.000 0.000 0.000 [1 per cell]
H 0.500 0.500 0.500 [1 per cell]
Ir 0.000 0.500 0.500 [3 per cell]

---

# 5
An optimized crystal structure of CrHIr3, computed with PBE-GGA.

Calculated values
DOS at the Fermi energy: 1.241 states/eV/atom
Total magnetization: 0.9 μB per cell
Calculated volume: 89.5 Å³/cell
Raw total energy: -5.96 eV/atom

Cell lengths 4.473, 4.473, 4.473 Å; angles 90.00, 90.00, 90.00 degrees
Space group Pm-3m (No. 221)
Unique sites:
Cr 0.000 0.000 0.000 [1 per cell]
H 0.500 0.500 0.500 [1 per cell]
Ir 0.000 0.000 0.500 [3 per cell]

---

# 6
An optimized crystal structure of MnCr2HIr, computed with PBE-GGA.

Calculated values
DOS at the Fermi energy: 1.245 states/eV/atom
Total magnetization: 0.0 μB per cell
Calculated volume: 50.6 Å³/cell
Raw total energy: -8.18 eV/atom

Cell lengths 3.716, 3.716, 3.668 Å; angles 90.00, 90.00, 90.00 degrees
Space group P4/mmm (No. 123)
Unique sites:
Mn 0.000 0.000 0.000 [1 per cell]
Cr 0.000 0.500 0.500 [2 per cell]
H 0.000 0.000 0.500 [1 per cell]
Ir 0.500 0.500 0.000 [1 per cell]

---

The highest DOS at the Fermi energy belongs to which entry?
MnCr2HIr

---

Which formula does entry 1 have?
Cr3HIr